This record from Alexandria describes a relaxed Ta3Os crystal. The functional is GGA-PBE.

- Crystal system: orthorhombic
- Total magnetic moment: 0.00 Bohr magnetons per cell
- Formation energy: -26.9 kJ per mole of atoms

Unit cell a=3.212 b=4.562 c=9.310 alpha=90.00 beta=90.00 gamma=90.00
Space group Immm (No. 71)
Unique sites:
Ta 0.000 0.000 0.000 (multiplicity 2)
Ta 0.000 0.500 0.245 (multiplicity 4)
Os 0.000 0.000 0.500 (multiplicity 2)

=====

This record from Alexandria describes a relaxed NdThAuC crystal. The functional is GGA-PBE.

- Crystal system: monoclinic
- Total magnetic moment: 0.00 Bohr magnetons per cell
- Formation energy: -40.2 kJ per mole of atoms

Unit cell a=6.537 b=3.761 c=7.839 alpha=90.00 beta=106.19 gamma=90.00
Space group Cm (No. 8)
Unique sites:
Nd 0.000 0.000 0.000 (multiplicity 2)
Th 0.203 0.000 0.613 (multiplicity 2)
Au 0.269 0.500 0.306 (multiplicity 2)
C 0.096 0.500 0.789 (multiplicity 2)

=====

This record from Alexandria describes a relaxed ZrF4 crystal. The functional is GGA-PBE.

- Uncorrected formation energy: -352.85 kJ per mole of atoms
- Crystal system: monoclinic
- Total magnetic moment: 0.00 Bohr magnetons per cell

Unit cell a=11.988 b=10.101 c=7.832 alpha=90.00 beta=125.98 gamma=90.00
Space group C2/c (No. 15)
Unique sites:
Zr 0.000 0.214 0.250 (multiplicity 4)
Zr 0.205 0.429 0.832 (multiplicity 8)
F 0.000 0.394 0.750 (multiplicity 4)
F 0.109 0.293 0.576 (multiplicity 8)
F 0.118 0.055 0.456 (multiplicity 8)
F 0.119 0.379 0.283 (multiplicity 8)
F 0.123 0.153 0.149 (multiplicity 8)
F 0.212 0.470 0.106 (multiplicity 8)
F 0.250 0.250 0.000 (multiplicity 4)

=====

This record from Alexandria describes a relaxed Li5SbS crystal. The functional is GGA-PBE.

- Uncorrected formation energy: -81.39 kJ per mole of atoms
- Crystal system: monoclinic
- Total magnetic moment: 0.00 Bohr magnetons per cell
- Energy relative to the lowest polymorph listed for this composition: 0.040 eV/atom

Unit cell a=6.244 b=8.713 c=9.016 alpha=90.00 beta=91.22 gamma=90.00
Space group P2_1 (No. 4)
Unique sites:
Li 0.026 0.000 0.213 (multiplicity 2)
Li 0.208 0.774 0.739 (multiplicity 2)
Li 0.218 0.487 0.475 (multiplicity 2)
Li 0.223 0.025 0.507 (multiplicity 2)
Li 0.239 0.236 0.746 (multiplicity 2)
Li 0.263 0.730 0.240 (multiplicity 2)
Li 0.274 0.512 0.006 (multiplicity 2)
Li 0.275 0.999 0.972 (multiplicity 2)
Li 0.325 0.270 0.203 (multiplicity 2)
Li 0.447 0.761 0.507 (multiplicity 2)
Sb 0.007 0.254 0.002 (multiplicity 2)
Sb 0.489 0.502 0.726 (multiplicity 2)
S 0.033 0.755 0.481 (multiplicity 2)
S 0.484 0.001 0.726 (multiplicity 2)

=====

This record from Alexandria describes a relaxed Co2Si crystal. The functional is GGA-PBE.

- Uncorrected formation energy: -28.33 kJ per mole of atoms
- Crystal system: orthorhombic
- Total magnetic moment: 7.98 Bohr magnetons per cell

Unit cell a=7.469 b=4.266 c=4.076 alpha=90.00 beta=90.00 gamma=90.00
Space group Cmcm (No. 63)
Unique sites:
Co 0.163 0.183 0.250 (multiplicity 8)
Si 0.000 0.311 0.750 (multiplicity 4)

=====

This record from Alexandria describes a relaxed Mg5Ga4Bi crystal. The functional is GGA-PBE.

- Crystal system: tetragonal
- Total magnetic moment: 0.00 Bohr magnetons per cell
- Formation energy: -11.1 kJ per mole of atoms

Unit cell a=3.450 b=3.450 c=17.684 alpha=90.00 beta=90.00 gamma=90.00
Space group P4/mmm (No. 123)
Unique sites:
Mg 0.000 0.000 0.000 (multiplicity 1)
Mg 0.000 0.000 0.186 (multiplicity 2)
Mg 0.000 0.000 0.372 (multiplicity 2)
Ga 0.500 0.500 0.093 (multiplicity 2)
Ga 0.500 0.500 0.279 (multiplicity 2)
Bi 0.500 0.500 0.500 (multiplicity 1)

=====

This record from Alexandria describes a relaxed CePaP2 crystal. The functional is GGA-PBE.

- Crystal system: tetragonal
- Total magnetic moment: 1.21 Bohr magnetons per cell
- Formation energy: -103.9 kJ per mole of atoms
- Energy relative to the lowest polymorph listed for this composition: 0.342 eV/atom

Unit cell a=3.440 b=3.440 c=6.933 alpha=90.00 beta=90.00 gamma=90.00
Space group P4/mmm (No. 123)
Unique sites:
Ce 0.000 0.000 0.000 (multiplicity 1)
Pa 0.000 0.000 0.500 (multiplicity 1)
P 0.500 0.500 0.263 (multiplicity 2)

=====

This record from Alexandria describes a relaxed Ca2Cd2Ga crystal. The functional is GGA-PBE.

- Crystal system: orthorhombic
- Total magnetic moment: 0.00 Bohr magnetons per cell
- Formation energy: -29.8 kJ per mole of atoms
- Energy relative to the lowest polymorph listed for this composition: 0.000 eV/atom

Unit cell a=4.899 b=14.802 c=3.517 alpha=90.00 beta=90.00 gamma=90.00
Space group Cmmm (No. 65)
Unique sites:
Ca 0.000 0.111 0.000 (multiplicity 4)
Cd 0.000 0.303 0.500 (multiplicity 4)
Ga 0.000 0.500 0.500 (multiplicity 2)